Density functional theory data (PBE+U) for a relaxed structure of Cs2LaVF6.

Cell lengths 6.332, 6.332, 7.220 Å; angles 63.99, 63.99, 90.00 degrees
Each line ends with the local moment (μB).
Positions (direct):
V1 0.500 0.500 0.000  3.14
F1 0.261 0.739 0.000  0.00
F2 0.797 0.797 0.406  0.01
F3 0.203 0.203 0.594  0.01
F4 0.739 0.261 0.000  0.00
F5 0.739 0.739 0.000  0.00
F6 0.261 0.261 0.000  0.00
La1 0.000 0.000 0.000  0.03
Cs1 0.250 0.750 0.500  0.01
Cs2 0.750 0.250 0.500  0.01

Calculated values
raw total energy	-54.90	eV per cell
SG	No. 139
V	227	Å³/cell